Here is crystalline Pr2TmU2Ru5 at its relaxed geometry from Alexandria via LeMat-Bulk. Energies are from PBE-GGA.

Properties
**Formation energy**: -218 meV per atom
**VASP energy**: -8.5165 eV per atom

Unit cell a=10.9053 b=10.9053 c=3.5120 alpha=90.00 beta=90.00 gamma=90.00
With the nearest neighbours (Å) after each atom.
Space group P4/mbm (No. 127)
Symmetry-distinct sites (fractional):
1 Pr 0.1746 0.3254 0.0000 x4  1 U 2.90, 6 Ru 3.21-3.24
2 Tm 0.0000 0.0000 0.0000 x2  8 Ru 2.98
3 U 0.1375 0.6375 0.0000 x4  6 Ru 2.57-2.75
4 Ru 0.0000 0.5000 0.5000 x2  4 U 2.75
5 Ru 0.0497 0.7853 0.5000 x8  2 U 2.57